1.
An optimized crystal structure of TlZnPt, computed with GGA-PBEsol.

a b c (Å): 4.4152 4.4152 4.4152
angles (deg): 60.00 60.00 60.00
Positions (direct):
Tl  0.7500  0.7500  0.7500
Zn  0.0000  0.0000  0.0000
Pt  0.5000  0.5000  0.5000

* total moment: 0.000 μB/cell
* ΔH_f (0 K): 1.0 eV/f.u.


2.
An optimized crystal structure of CsTl3B, computed with GGA-PBEsol.

a b c (Å): 6.3792 6.3792 6.3792
angles (deg): 90.00 90.00 90.00
Positions (direct):
Tl  0.0000  0.0000  0.5000
Tl  0.5000  0.0000  0.0000
Tl  0.0000  0.5000  0.0000
B  0.5000  0.5000  0.5000
Cs  0.0000  0.0000  0.0000

* total moment: 1.646 μB/cell
* ΔH_f (0 K): 9.7 eV/f.u.


Question: Among the records above, which one has the highest total moment?
Answer: CsTl3B